# 1
First-principles (PBE) data for an optimized crystal structure of SrY2Se, as listed in Alexandria via LeMat-Bulk. Values from VASP.

Structure (Quantum ESPRESSO input):
```
&SYSTEM
  ibrav = 0, nat = 4, ntyp = 3
/
ATOMIC_SPECIES
Se 78.96 Se.upf
Sr 87.62 Sr.upf
Y 88.91 Y.upf
CELL_PARAMETERS angstrom
-3.186 1.530 -0.843
-1.747 -2.824 1.474
-0.091 4.518 8.548
ATOMIC_POSITIONS crystal
Se 0.500 0.500 0.250
Sr 0.500 0.500 0.750
Y 0.000 0.000 0.074
Y 0.000 0.000 0.426
```

Calculated values
VASP energy   -5.100 eV/atom
Formation energy from raw total energies   -2.31 eV/f.u.
Symmetry   P4/mmm

---

# 2
First-principles (PBE) data for an optimized crystal structure of Sr4YSe5, as listed in Alexandria via LeMat-Bulk. Values from VASP.

Structure (Quantum ESPRESSO input):
```
&SYSTEM
  ibrav = 0, nat = 10, ntyp = 3
/
ATOMIC_SPECIES
Sr 87.62 Sr.upf
Y 88.91 Y.upf
Se 78.96 Se.upf
CELL_PARAMETERS angstrom
-6.077 -0.459 -0.978
-2.743 -6.986 0.849
-4.209 1.041 6.186
ATOMIC_POSITIONS crystal
Sr 0.404 0.397 0.797
Sr 0.801 0.797 0.603
Sr 0.201 0.203 0.397
Sr 0.598 0.603 0.203
Y 0.001 0.000 0.000
Se 0.905 0.382 0.809
Se 0.287 0.809 0.618
Se 0.715 0.191 0.382
Se 0.096 0.618 0.191
Se 0.501 0.000 0.000
```

Calculated values
VASP energy   -5.037 eV/atom
Formation energy from raw total energies   -19.75 eV/f.u.
Symmetry   I4/m

---

# 3
First-principles (PBE) data for an optimized crystal structure of Sr3YSe, as listed in Alexandria via LeMat-Bulk. Values from VASP.

Structure (Quantum ESPRESSO input):
```
&SYSTEM
  ibrav = 0, nat = 5, ntyp = 3
/
ATOMIC_SPECIES
Y 88.91 Y.upf
Sr 87.62 Sr.upf
Se 78.96 Se.upf
CELL_PARAMETERS angstrom
-1.332 4.488 -3.799
-5.855 -1.373 0.432
-0.543 3.785 4.662
ATOMIC_POSITIONS crystal
Y 0.500 0.500 0.500
Sr 0.000 0.500 0.000
Sr 0.000 0.000 0.500
Sr 0.500 0.000 0.000
Se 0.000 0.000 0.000
```

Calculated values
VASP energy   -3.454 eV/atom
Formation energy from raw total energies   -2.27 eV/f.u.
E above lowest polymorph   0.0 meV/atom
Symmetry   Pm-3m

---

# 4
First-principles (PBE) data for an optimized crystal structure of SrY2Se4, as listed in Alexandria via LeMat-Bulk. Values from VASP.

Structure (Quantum ESPRESSO input):
```
&SYSTEM
  ibrav = 0, nat = 14, ntyp = 3
/
ATOMIC_SPECIES
Sr 87.62 Sr.upf
Y 88.91 Y.upf
Se 78.96 Se.upf
CELL_PARAMETERS angstrom
-3.423 -1.622 1.680
-0.875 -0.163 -7.049
5.865 -12.823 -0.432
ATOMIC_POSITIONS crystal
Sr 0.611 0.223 0.750
Sr 0.389 0.777 0.250
Y 0.135 0.269 0.431
Y 0.865 0.731 0.931
Y 0.135 0.269 0.069
Y 0.865 0.731 0.569
Se 0.771 0.542 0.116
Se 0.771 0.542 0.384
Se 0.229 0.458 0.884
Se 0.229 0.458 0.616
Se 0.948 0.895 0.750
Se 0.052 0.105 0.250
Se 0.500 0.000 0.000
Se 0.500 0.000 0.500
```

Calculated values
VASP energy   -6.030 eV/atom
Formation energy from raw total energies   -13.66 eV/f.u.
E above lowest polymorph   12.7 meV/atom
Symmetry   Cmcm